1.
The following is a GGA-PBE calculation of a relaxed BeTlNi2 crystal, from the Alexandria database.

Properties
calculated formation energy: 0.10 eV/atom
DOS at the Fermi energy: 1.2 states/eV per cell
relative energy among the computed polymorphs: 1 meV per atom

abc: 3.736 3.736 5.070
angles: 111.53 111.53 59.88
Sites, in units of the cell vectors:
Be 0.000 0.000 0.000
Tl 0.500 0.500 0.500
Ni 0.291 0.291 0.872
Ni 0.709 0.709 0.128

2.
The following is a GGA-PBE calculation of a relaxed ReMoSe4 crystal, from the Alexandria database.

Properties
DOS at the Fermi energy: 2.1 states/eV per cell
raw formation energy: -456.1 meV per atom
relative energy among the computed polymorphs: 0 meV per atom

abc: 7.369 7.369 5.979
angles: 100.76 100.76 25.44
Sites, in units of the cell vectors:
Re 0.000 0.000 0.000
Mo 0.492 0.492 0.607
Se 0.096 0.096 0.415
Se 0.396 0.396 0.181
Se 0.627 0.627 0.938
Se 0.864 0.864 0.669

3.
The following is a GGA-PBE calculation of a relaxed K2TlMo crystal, from the Alexandria database.

Properties
calculated formation energy: 1.04 eV/atom
DOS at the Fermi energy: 3.1 states/eV per cell
relative energy among the computed polymorphs: 281 meV per atom

abc: 4.519 4.560 5.883
angles: 90.00 90.00 90.00
Sites, in units of the cell vectors:
K 0.000 0.000 0.000
K 0.500 0.500 0.000
Tl 0.000 0.500 0.500
Mo 0.500 0.000 0.500

4.
The following is a GGA-PBE calculation of a relaxed SrRePt2 crystal, from the Alexandria database.

Properties
calculated formation energy: 0.10 eV/atom
DOS at the Fermi energy: 3.1 states/eV per cell
relative energy among the computed polymorphs: 164 meV per atom

abc: 4.932 4.932 5.829
angles: 98.17 98.17 34.06
Sites, in units of the cell vectors:
Sr 0.000 0.000 0.000
Re 0.763 0.763 0.364
Pt 0.242 0.242 0.736
Pt 0.500 0.500 0.478

5.
The following is a GGA-PBE calculation of a relaxed InHPd3 crystal, from the Alexandria database.

Properties
DOS at the Fermi energy: 0.2 states/eV per cell
relative energy among the computed polymorphs: 1596 meV per atom

abc: 5.006 5.006 5.006
angles: 90.00 90.00 90.00
Sites, in units of the cell vectors:
In 0.000 0.000 0.000
H 0.500 0.500 0.500
Pd 0.000 0.000 0.500
Pd 0.000 0.500 0.000
Pd 0.500 0.000 0.000

6.
The following is a GGA-PBE calculation of a relaxed La2PrTlCo crystal, from the Alexandria database.

Properties
calculated formation energy: -0.22 eV/atom
DOS at the Fermi energy: 5.4 states/eV per cell

abc: 5.224 5.224 5.543
angles: 90.00 90.00 90.00
Sites, in units of the cell vectors:
La 0.000 0.500 0.000
La 0.500 0.000 0.000
Pr 0.000 0.000 0.500
Tl 0.500 0.500 0.500
Co 0.000 0.000 0.000

7.
The following is a GGA-PBE calculation of a relaxed NaNbTcB2 crystal, from the Alexandria database.

Properties
calculated formation energy: 1.12 eV/atom
DOS at the Fermi energy: 3.4 states/eV per cell

abc: 4.259 4.259 4.815
angles: 90.00 90.00 90.00
Sites, in units of the cell vectors:
Na 0.000 0.000 0.000
Nb 0.500 0.500 0.000
Tc 0.500 0.500 0.500
B 0.000 0.500 0.500
B 0.500 0.000 0.500

8.
The following is a GGA-PBE calculation of a relaxed PaTiGe3 crystal, from the Alexandria database.

Properties
calculated formation energy: -0.46 eV/atom
DOS at the Fermi energy: 15.8 states/eV per cell

abc: 7.595 4.003 12.618
angles: 90.00 90.00 90.00
Sites, in units of the cell vectors:
Pa 0.119 0.250 0.187
Pa 0.381 0.750 0.687
Pa 0.619 0.250 0.313
Pa 0.881 0.750 0.813
Ti 0.244 0.750 0.403
Ti 0.256 0.250 0.903
Ti 0.744 0.750 0.097
Ti 0.756 0.250 0.597
Ge 0.023 0.750 0.574
Ge 0.100 0.250 0.714
Ge 0.120 0.750 0.017
Ge 0.380 0.250 0.517
Ge 0.400 0.750 0.214
Ge 0.477 0.250 0.074
Ge 0.523 0.750 0.926
Ge 0.600 0.250 0.786
Ge 0.620 0.750 0.483
Ge 0.880 0.250 0.983
Ge 0.900 0.750 0.286
Ge 0.977 0.250 0.426

9.
The following is a GGA-PBE calculation of a relaxed NdMgZrCd crystal, from the Alexandria database.

Properties
calculated formation energy: -0.02 eV/atom
DOS at the Fermi energy: 5.7 states/eV per cell

abc: 5.218 5.218 5.218
angles: 60.00 60.00 60.00
Sites, in units of the cell vectors:
Nd 0.000 0.000 0.000
Mg 0.750 0.750 0.750
Zr 0.500 0.500 0.500
Cd 0.250 0.250 0.250

10.
The following is a GGA-PBE calculation of a relaxed Zn4MoRh5 crystal, from the Alexandria database.

Properties
calculated formation energy: -0.35 eV/atom
DOS at the Fermi energy: 4.9 states/eV per cell

abc: 2.941 2.941 16.195
angles: 90.00 90.00 90.00
Sites, in units of the cell vectors:
Zn 0.000 0.000 0.097
Zn 0.000 0.000 0.291
Zn 0.000 0.000 0.709
Zn 0.000 0.000 0.903
Mo 0.000 0.000 0.500
Rh 0.500 0.500 0.000
Rh 0.500 0.500 0.195
Rh 0.500 0.500 0.392
Rh 0.500 0.500 0.608
Rh 0.500 0.500 0.805

11.
The following is a GGA-PBE calculation of a relaxed FeRe2Ru crystal, from the Alexandria database.

Properties
calculated formation energy: 0.09 eV/atom
DOS at the Fermi energy: 4.3 states/eV per cell
relative energy among the computed polymorphs: 105 meV per atom

abc: 2.711 3.800 5.399
angles: 90.00 90.00 90.00
Sites, in units of the cell vectors:
Fe 0.000 0.000 0.000
Re 0.000 0.000 0.508
Re 0.500 0.500 0.236
Ru 0.500 0.500 0.759

12.
The following is a GGA-PBE calculation of a relaxed Mg2Ga3Ag crystal, from the Alexandria database.

Properties
calculated formation energy: -0.13 eV/atom
DOS at the Fermi energy: 2.3 states/eV per cell
relative energy among the computed polymorphs: 0 meV per atom

abc: 3.202 4.512 7.829
angles: 90.00 90.00 90.00
Sites, in units of the cell vectors:
Mg 0.000 0.000 0.000
Mg 0.000 0.500 0.485
Ga 0.500 0.000 0.665
Ga 0.500 0.500 0.154
Ga 0.500 0.500 0.824
Ag 0.500 0.000 0.329

The highest DOS at the Fermi energy belongs to which entry? PaTiGe3